# 1
A plane-wave DFT calculation with SCAN was carried out for a crystal of VZnGe2O6 relaxed with PBEsol.

Cell lengths 9.7068, 8.9805, 5.2132 Å; angles 90.00, 101.29, 90.00 degrees
Last column: nearest neighbours and their distance in Å.
Space group C2/c (No. 15)
Asymmetric unit:
V 0.0000 0.0881 0.2500 x4  6 O 2.03-2.11
Zn 0.0000 0.2750 0.7500 x4  6 O 2.04-2.17
Ge 0.1965 0.4036 0.2939 x8  4 O 1.75-1.83
O 0.1150 0.0893 0.6286 x8  1 Ge 1.80
O 0.1157 0.2498 0.1198 x8  1 Ge 1.75
O 0.1378 0.4299 0.6034 x8  2 Ge 1.82-1.83

Properties
Total DFT energy (no corrections), eV per atom: -12.509
Formation energy from raw total energies, eV per atom: -1.85
N(E_F), states/eV per cell: 13.5



# 2
A plane-wave DFT calculation with SCAN was carried out for a crystal of Ge3WO relaxed with PBEsol.

Cell lengths 4.1851, 4.1851, 4.1851 Å; angles 90.00, 90.00, 90.00 degrees
Last column: nearest neighbours and their distance in Å.
Space group Pm-3m (No. 221)
Asymmetric unit:
Ge 0.0000 0.0000 0.5000 x3  2 O 2.09
W 0.5000 0.5000 0.5000 x1  12 Ge 2.96
O 0.0000 0.0000 0.0000 x1  6 Ge 2.09

Properties
Total DFT energy (no corrections), eV per atom: -26.075
Formation energy from raw total energies, eV per atom: 0.56
N(E_F), states/eV per cell: 2.3



# 3
A plane-wave DFT calculation with SCAN was carried out for a crystal of GeWO3 relaxed with PBEsol.

Cell lengths 3.7716, 3.7716, 3.7716 Å; angles 90.00, 90.00, 90.00 degrees
Last column: nearest neighbours and their distance in Å.
Space group Pm-3m (No. 221)
Asymmetric unit:
Ge 0.0000 0.0000 0.0000 x1  6 O 1.89
W 0.5000 0.5000 0.5000 x1  12 O 2.67
O 0.0000 0.0000 0.5000 x3  2 Ge 1.89

Properties
Total DFT energy (no corrections), eV per atom: -21.639
Formation energy from raw total energies, eV per atom: -0.14
N(E_F), states/eV per cell: 2.1



# 4
A plane-wave DFT calculation with SCAN was carried out for a crystal of GeWO2 relaxed with PBEsol.

Cell lengths 2.7896, 2.7896, 21.1814 Å; angles 90.00, 90.00, 120.00 degrees
Last column: nearest neighbours and their distance in Å.
Space group R-3m (No. 166, hexagonal axes)
Asymmetric unit:
Ge 0.0000 0.0000 0.0000 x3  2 O 2.17
W 0.0000 0.0000 0.5000 x3  6 O 2.11
O 0.0000 0.0000 0.1023 x6  3 W 2.11, 1 Ge 2.17

Properties
Total DFT energy (no corrections), eV per atom: -26.442
Formation energy from raw total energies, eV per atom: -1.13
N(E_F), states/eV per cell: 3.0



# 5
A plane-wave DFT calculation with SCAN was carried out for a crystal of Y2Ge2O7 relaxed with PBEsol.

Cell lengths 9.9063, 9.9063, 9.9063 Å; angles 90.00, 90.00, 90.00 degrees
Last column: nearest neighbours and their distance in Å.
Space group Fd-3m (No. 227, origin choice 2)
Asymmetric unit:
Y 0.0000 0.0000 0.0000 x16  2 O 2.14
Ge 0.0000 0.0000 0.5000 x16  6 O 1.91
O 0.0780 0.3750 0.8750 x48  2 Ge 1.91
O 0.1250 0.1250 0.1250 x8  4 Y 2.14

Properties
Total DFT energy (no corrections), eV per atom: -15.381
Formation energy from raw total energies, eV per atom: -2.88
N(E_F), states/eV per cell: 0.0
Distance to the lowest polymorph of the same formula, eV/atom: 0.000



# 6
A plane-wave DFT calculation with SCAN was carried out for a crystal of Y2Ge2O7 relaxed with PBEsol.

Cell lengths 6.7857, 6.8202, 11.9671 Å; angles 94.73, 94.20, 92.65 degrees
Last column: nearest neighbours and their distance in Å.
Space group P-1 (No. 2)
Asymmetric unit:
Y 0.0754 0.0902 0.3701 x2  5 O 2.19-2.40
Y 0.1738 0.6896 0.8724 x2  7 O 2.27-2.37
Y 0.2670 0.3618 0.6256 x2  6 O 2.18-2.42
Y 0.3337 0.0288 0.1179 x2  7 O 2.22-2.44
Ge 0.1504 0.1744 0.8891 x2  4 O 1.72-1.79
Ge 0.2336 0.5863 0.3747 x2  4 O 1.74-1.92
Ge 0.3215 0.5039 0.1493 x2  4 O 1.73-1.83
Ge 0.3900 0.8460 0.6078 x2  4 O 1.75-1.79
O 0.0236 0.9985 0.1876 x2  1 Ge 1.78
O 0.0555 0.7612 0.3826 x2  1 Ge 1.74
O 0.1027 0.2424 0.0290 x2  1 Ge 1.76
O 0.1256 0.4228 0.2315 x2  1 Ge 1.80
O 0.1716 0.3841 0.4490 x2  1 Ge 1.75
O 0.2213 0.3704 0.8164 x2  1 Ge 1.72
O 0.2213 0.7045 0.6808 x2  1 Ge 1.79
O 0.2317 0.0336 0.5688 x2  1 Ge 1.78
O 0.2690 0.6943 0.0653 x2  1 Ge 1.74
O 0.3378 0.0037 0.9162 x2  1 Ge 1.79
O 0.3916 0.0737 0.3114 x2  1 Ge 1.75
O 0.4312 0.6292 0.2824 x2  2 Ge 1.83
O 0.4358 0.6938 0.4871 x2  2 Ge 1.76-1.92
O 0.4847 0.3242 0.1166 x2  1 Ge 1.73

Properties
Total DFT energy (no corrections), eV per atom: -15.345
Formation energy from raw total energies, eV per atom: -2.85
N(E_F), states/eV per cell: 0.0
Distance to the lowest polymorph of the same formula, eV/atom: 0.036



# 7
A plane-wave DFT calculation with SCAN was carried out for a crystal of Y2Ge2O7 relaxed with PBEsol.

Cell lengths 6.7952, 6.7952, 12.3602 Å; angles 90.00, 90.00, 90.00 degrees
Last column: nearest neighbours and their distance in Å.
Space group P4_32_12 (No. 96)
Asymmetric unit:
Y 0.1255 0.3530 0.3853 x8  6 O 2.21-2.38
Ge 0.1001 0.1523 0.8690 x8  4 O 1.74-1.79
O 0.0325 0.0781 0.6276 x8  1 Ge 1.75
O 0.0654 0.6618 0.3213 x8  1 Ge 1.79
O 0.1446 0.3178 0.2056 x8  1 Ge 1.74
O 0.1978 0.1978 0.0000 x4  2 Ge 1.78

Properties
Total DFT energy (no corrections), eV per atom: -15.366
Formation energy from raw total energies, eV per atom: -2.87
N(E_F), states/eV per cell: 0.0
Distance to the lowest polymorph of the same formula, eV/atom: 0.015



# 8
A plane-wave DFT calculation with SCAN was carried out for a crystal of Y2Ge2O7 relaxed with PBEsol.

Cell lengths 6.9586, 9.1249, 4.9535 Å; angles 90.00, 102.11, 90.00 degrees
Last column: nearest neighbours and their distance in Å.
Space group C2/m (No. 12)
Asymmetric unit:
Y 0.0000 0.1942 0.0000 x4  6 O 2.22-2.30
Ge 0.2300 0.5000 0.4085 x4  4 O 1.75-1.76
O 0.0000 0.5000 0.5000 x2  2 Ge 1.75
O 0.0993 0.0000 0.2757 x4  1 Ge 1.75
O 0.2400 0.3410 0.2116 x8  1 Ge 1.76

Properties
Total DFT energy (no corrections), eV per atom: -15.349
Formation energy from raw total energies, eV per atom: -2.85
N(E_F), states/eV per cell: 0.0
Distance to the lowest polymorph of the same formula, eV/atom: 0.031



# 9
A plane-wave DFT calculation with SCAN was carried out for a crystal of Y2GeO relaxed with PBEsol.

Cell lengths 6.6947, 6.6947, 6.6947 Å; angles 90.00, 90.00, 90.00 degrees
Last column: nearest neighbours and their distance in Å.
Space group Fm-3m (No. 225)
Asymmetric unit:
Y 0.2500 0.2500 0.2500 x8  4 O 2.90, 4 Ge 2.90
Ge 0.0000 0.0000 0.0000 x4  8 Y 2.90
O 0.0000 0.0000 0.5000 x4  8 Y 2.90

Properties
Total DFT energy (no corrections), eV per atom: -21.451
Formation energy from raw total energies, eV per atom: -1.20
N(E_F), states/eV per cell: 6.4



# 10
A plane-wave DFT calculation with SCAN was carried out for a crystal of ZnGe2O relaxed with PBEsol.

Cell lengths 6.0942, 6.0942, 6.0942 Å; angles 90.00, 90.00, 90.00 degrees
Last column: nearest neighbours and their distance in Å.
Space group Fm-3m (No. 225)
Asymmetric unit:
Zn 0.0000 0.0000 0.0000 x4  8 Ge 2.64
Ge 0.2500 0.2500 0.2500 x8  4 O 2.64, 4 Zn 2.64
O 0.0000 0.0000 0.5000 x4  8 Ge 2.64

Properties
Total DFT energy (no corrections), eV per atom: -14.128
Formation energy from raw total energies, eV per atom: 0.35
N(E_F), states/eV per cell: 10.0



# 11
A plane-wave DFT calculation with SCAN was carried out for a crystal of Ge2Os relaxed with PBEsol.

Cell lengths 8.9958, 3.0887, 7.6678 Å; angles 90.00, 119.17, 90.00 degrees
Last column: nearest neighbours and their distance in Å.
Space group C2/m (No. 12)
Asymmetric unit:
Ge 0.1014 0.0000 0.3881 x4  5 Os 2.57-2.69, 2 Ge 2.83
Ge 0.1434 0.5000 0.0317 x4  1 Ge 2.38, 3 Os 2.51-2.59
Os 0.1538 0.5000 0.7003 x4  8 Ge 2.51-2.69

Properties
E_form, eV/atom: -0.1437
Total DFT energy (no corrections), eV per atom: -36.829
N(E_F), states/eV per cell: 0.9



# 12
A plane-wave DFT calculation with SCAN was carried out for a crystal of SiGeP2Os relaxed with PBEsol.

Cell lengths 4.4281, 4.4281, 4.5276 Å; angles 90.00, 90.00, 90.00 degrees
Last column: nearest neighbours and their distance in Å.
Space group P4/mmm (No. 123)
Asymmetric unit:
Si 0.0000 0.0000 0.0000 x1  4 P 2.21, 2 Os 2.26
Ge 0.5000 0.5000 0.5000 x1  4 Os 3.13, 8 P 3.17
P 0.0000 0.5000 0.0000 x2  2 Si 2.21
Os 0.0000 0.0000 0.5000 x1  2 Si 2.26

Properties
Total DFT energy (no corrections), eV per atom: -23.030
Formation energy from raw total energies, eV per atom: 1.33
N(E_F), states/eV per cell: 3.8



# 13
A plane-wave DFT calculation with SCAN was carried out for a crystal of GeOs3Pd relaxed with PBEsol.

Cell lengths 4.6471, 4.6471, 4.6471 Å; angles 90.00, 90.00, 90.00 degrees
Last column: nearest neighbours and their distance in Å.
Space group Pm-3m (No. 221)
Asymmetric unit:
Ge 0.0000 0.0000 0.0000 x1  12 Os 3.29
Os 0.0000 0.5000 0.5000 x3  2 Pd 2.32
Pd 0.5000 0.5000 0.5000 x1  6 Os 2.32

Properties
E_form, eV/atom: 2.8735
Total DFT energy (no corrections), eV per atom: -50.627
N(E_F), states/eV per cell: 5.9
Distance to the lowest polymorph of the same formula, eV/atom: 0.957



# 14
A plane-wave DFT calculation with SCAN was carried out for a crystal of GeOs3Pd relaxed with PBEsol.

Cell lengths 4.4356, 4.4356, 4.4356 Å; angles 90.00, 90.00, 90.00 degrees
Last column: nearest neighbours and their distance in Å.
Space group Pm-3m (No. 221)
Asymmetric unit:
Ge 0.0000 0.0000 0.0000 x1  6 Os 2.22
Os 0.0000 0.0000 0.5000 x3  2 Ge 2.22
Pd 0.5000 0.5000 0.5000 x1  12 Os 3.14

Properties
E_form, eV/atom: 1.9161
Total DFT energy (no corrections), eV per atom: -51.584
N(E_F), states/eV per cell: 3.8
Distance to the lowest polymorph of the same formula, eV/atom: 0.000



# 15
A plane-wave DFT calculation with SCAN was carried out for a crystal of Zn2GeOsPd relaxed with PBEsol.

Cell lengths 4.5607, 4.5607, 4.5081 Å; angles 90.00, 90.00, 90.00 degrees
Last column: nearest neighbours and their distance in Å.
Space group P4/mmm (No. 123)
Asymmetric unit:
Zn 0.0000 0.5000 0.0000 x2  2 Pd 2.28
Ge 0.0000 0.0000 0.5000 x1  2 Pd 2.25
Os 0.5000 0.5000 0.5000 x1  8 Zn 3.21, 4 Ge 3.22
Pd 0.0000 0.0000 0.0000 x1  2 Ge 2.25, 4 Zn 2.28

Properties
E_form, eV/atom: 1.1017
Total DFT energy (no corrections), eV per atom: -29.053
N(E_F), states/eV per cell: 2.4



# 16
A plane-wave DFT calculation with SCAN was carried out for a crystal of RbGeOs3 relaxed with PBEsol.

Cell lengths 4.6693, 4.6693, 4.6693 Å; angles 90.00, 90.00, 90.00 degrees
Last column: nearest neighbours and their distance in Å.
Space group Pm-3m (No. 221)
Asymmetric unit:
Rb 0.0000 0.0000 0.0000 x1  12 Os 3.30
Ge 0.5000 0.5000 0.5000 x1  6 Os 2.33
Os 0.0000 0.5000 0.5000 x3  2 Ge 2.33

Properties
E_form, eV/atom: 1.9312
Total DFT energy (no corrections), eV per atom: -49.162
N(E_F), states/eV per cell: 4.6



# 17
A plane-wave DFT calculation with SCAN was carried out for a crystal of GeOs2S relaxed with PBEsol.

Cell lengths 6.0112, 6.0112, 6.0112 Å; angles 90.00, 90.00, 90.00 degrees
Last column: nearest neighbours and their distance in Å.
Space group Fm-3m (No. 225)
Asymmetric unit:
Ge 0.0000 0.0000 0.0000 x4  8 Os 2.60
Os 0.2500 0.2500 0.2500 x8  4 S 2.60, 4 Ge 2.60
S 0.0000 0.0000 0.5000 x4  8 Os 2.60

Properties
Total DFT energy (no corrections), eV per atom: -42.513
Formation energy from raw total energies, eV per atom: 0.61
N(E_F), states/eV per cell: 7.7



# 18
A plane-wave DFT calculation with SCAN was carried out for a crystal of Ge2SbOsS relaxed with PBEsol.

Cell lengths 5.1400, 5.1400, 4.7657 Å; angles 90.00, 90.00, 90.00 degrees
Last column: nearest neighbours and their distance in Å.
Space group P4/mmm (No. 123)
Asymmetric unit:
Ge 0.0000 0.5000 0.0000 x2  2 Sb 2.57
Sb 0.0000 0.0000 0.0000 x1  2 S 2.38, 4 Ge 2.57
Os 0.5000 0.5000 0.5000 x1  8 Ge 3.50, 4 S 3.63
S 0.0000 0.0000 0.5000 x1  2 Sb 2.38

Properties
Total DFT energy (no corrections), eV per atom: -29.471
Formation energy from raw total energies, eV per atom: 1.92
N(E_F), states/eV per cell: 3.4



# 19
A plane-wave DFT calculation with SCAN was carried out for a crystal of GeSb2Os2 relaxed with PBEsol.

Cell lengths 4.6630, 4.6630, 9.6682 Å; angles 90.00, 90.00, 90.00 degrees
Last column: nearest neighbours and their distance in Å.
Space group I4/mmm (No. 139)
Asymmetric unit:
Ge 0.0000 0.0000 0.0000 x2  8 Sb 3.36, 10 Os 3.50-3.66
Sb 0.0000 0.5000 0.2500 x4  4 Os 2.64
Os 0.0000 0.0000 0.3783 x4  1 Os 2.35

Properties
Total DFT energy (no corrections), eV per atom: -46.778
Formation energy from raw total energies, eV per atom: 0.70
N(E_F), states/eV per cell: 4.2



# 20
A plane-wave DFT calculation with SCAN was carried out for a crystal of GeSbOs3 relaxed with PBEsol.

Cell lengths 4.5277, 4.5277, 4.5277 Å; angles 90.00, 90.00, 90.00 degrees
Last column: nearest neighbours and their distance in Å.
Space group Pm-3m (No. 221)
Asymmetric unit:
Ge 0.0000 0.0000 0.0000 x1  6 Os 2.26
Sb 0.5000 0.5000 0.5000 x1  12 Os 3.20
Os 0.0000 0.0000 0.5000 x3  2 Ge 2.26

Properties
Total DFT energy (no corrections), eV per atom: -52.703
Formation energy from raw total energies, eV per atom: 1.69
N(E_F), states/eV per cell: 4.1